This record from the Alexandria database describes crystalline NaMnPbO4 at its relaxed geometry. The functional is PBE with a Hubbard U.

Cell lengths 6.0594, 6.6088, 9.8215 Å; angles 90.00, 90.00, 90.00 degrees
Space group Imma (No. 74)
Inequivalent atoms, fractional coordinates:
Na1 0.0000 0.2500 0.1473 x4
Mn1 0.2500 0.2500 0.7500 x4
Pb1 0.0000 0.0000 0.5000 x4
O1 0.0000 0.0524 0.7329 x8
O2 0.2361 0.2500 0.5105 x8

The raw total energy comes out at -166.00 eV for the cell shown. Its theoretical density is 5.896 g/cm³.